1.
! LaTb2Nd6Tm, optimized geometry, DFT PBE-GGA; values from VASP
&SYSTEM
  ibrav = 0, nat = 20, ntyp = 4
/
ATOMIC_SPECIES
Nd 144.24 Nd.upf
La 138.91 La.upf
Tb 158.93 Tb.upf
Tm 168.93 Tm.upf
ATOMIC_POSITIONS crystal
Nd 0.945 0.880 0.245
Nd 0.687 0.009 0.562
Nd 0.813 0.438 0.991
La 0.250 0.973 0.027
Tb 0.048 0.302 0.202
Tb 0.952 0.698 0.798
Tm 0.750 0.589 0.411
Nd 0.383 0.511 0.294
Tb 0.548 0.202 0.302
Nd 0.117 0.706 0.489
Nd 0.883 0.294 0.511
Tb 0.452 0.798 0.698
Nd 0.617 0.489 0.706
Nd 0.055 0.120 0.755
La 0.750 0.027 0.973
Tm 0.250 0.411 0.589
Nd 0.313 0.991 0.438
Nd 0.445 0.245 0.880
Nd 0.187 0.562 0.009
Nd 0.555 0.755 0.120
CELL_PARAMETERS angstrom
9.255 -2.100 -2.179
0.911 8.706 -2.027
0.911 -2.349 8.625
! - total energy (eV/atom) = -4.61
! - SG = C2/c, No. 15
! - M_tot (μB/f.u.) = 0.00

---

2.
! Ta2GeMoH, optimized geometry, DFT PBE-GGA; values from VASP
&SYSTEM
  ibrav = 0, nat = 5, ntyp = 4
/
ATOMIC_SPECIES
H 1.01 H.upf
Ge 72.64 Ge.upf
Ta 180.95 Ta.upf
Mo 95.94 Mo.upf
ATOMIC_POSITIONS crystal
H 0.000 0.000 0.000
Ge 0.500 0.500 0.500
Ta 0.500 0.000 0.000
Mo 0.000 0.000 0.500
Ta 0.000 0.500 0.000
CELL_PARAMETERS angstrom
-2.763 -2.944 1.009
2.589 -1.425 2.931
-1.650 2.458 2.652
! - total energy (eV/atom) = -8.55
! - SG = P4/mmm, No. 123
! - M_tot (μB/f.u.) = 0.00

---

3.
! LiGa2Ir, optimized geometry, DFT PBE-GGA; values from VASP
&SYSTEM
  ibrav = 0, nat = 4, ntyp = 3
/
ATOMIC_SPECIES
Li 6.94 Li.upf
Ga 69.72 Ga.upf
Ir 192.22 Ir.upf
ATOMIC_POSITIONS crystal
Li 0.486 0.486 0.542
Ga 0.272 0.272 0.185
Ir 0.678 0.678 0.967
Ga 0.065 0.065 0.805
CELL_PARAMETERS angstrom
4.117 0.000 0.000
2.058 3.565 0.000
2.058 1.188 4.690
! - total energy (eV/atom) = -4.53
! - energy above the lowest structure with this stoichiometry (meV/atom) = 177
! - SG = R3m, No. 160
! - M_tot (μB/f.u.) = 0.00

---

4.
! Ce2Si2S7, optimized geometry, DFT PBE-GGA; values from VASP
&SYSTEM
  ibrav = 0, nat = 11, ntyp = 3
/
ATOMIC_SPECIES
S 32.06 S.upf
Ce 140.12 Ce.upf
Si 28.09 Si.upf
ATOMIC_POSITIONS crystal
S 0.233 0.413 0.087
S 0.767 0.913 0.587
S 0.270 0.613 0.613
S 0.730 0.387 0.387
S 0.500 0.000 0.000
Ce 0.000 0.702 0.298
S 0.233 0.087 0.413
Ce 0.000 0.298 0.702
Si 0.581 0.774 0.774
S 0.767 0.587 0.913
Si 0.419 0.226 0.226
CELL_PARAMETERS angstrom
-4.540 2.123 -3.236
1.889 -5.139 -4.475
-3.908 -3.596 4.670
! - formation energy from raw total energies (eV per formula unit) = -12.182
! - total energy (eV/atom) = -5.80
! - SG = C2/m, No. 12
! - M_tot (μB/f.u.) = 1.99

---

5.
! BaBN3, optimized geometry, DFT PBE-GGA; values from VASP
&SYSTEM
  ibrav = 0, nat = 5, ntyp = 3
/
ATOMIC_SPECIES
N 14.01 N.upf
B 10.81 B.upf
Ba 137.33 Ba.upf
ATOMIC_POSITIONS crystal
N 0.000 0.000 0.500
N 0.500 0.000 0.000
B 0.000 0.000 0.000
Ba 0.500 0.500 0.500
N 0.000 0.500 0.000
CELL_PARAMETERS angstrom
3.757 0.000 0.000
0.000 3.757 0.000
0.000 0.000 3.757
! - formation energy from raw total energies (eV per formula unit) = 6.079
! - total energy (eV/atom) = -5.50
! - SG = Pm-3m, No. 221
! - M_tot (μB/f.u.) = 0.00

---

6.
! YBeAu3, optimized geometry, DFT PBE-GGA; values from VASP
&SYSTEM
  ibrav = 0, nat = 20, ntyp = 3
/
ATOMIC_SPECIES
Au 196.97 Au.upf
Y 88.91 Y.upf
Be 9.01 Be.upf
ATOMIC_POSITIONS crystal
Au 0.837 0.135 0.135
Y 0.250 0.400 0.900
Be 0.671 0.049 0.208
Au 0.663 0.635 0.635
Au 0.337 0.365 0.365
Au 0.011 0.721 0.436
Be 0.171 0.292 0.451
Be 0.329 0.951 0.792
Au 0.560 0.448 0.239
Au 0.940 0.739 0.948
Au 0.440 0.552 0.761
Au 0.989 0.279 0.564
Y 0.250 0.828 0.328
Au 0.163 0.865 0.865
Au 0.511 0.064 0.779
Y 0.750 0.600 0.100
Be 0.829 0.708 0.549
Y 0.750 0.172 0.672
Au 0.489 0.936 0.221
Au 0.060 0.261 0.052
CELL_PARAMETERS angstrom
-3.495 -4.456 8.015
-5.899 -4.083 -0.385
3.713 -3.713 -4.903
! - total energy (eV/atom) = -4.52
! - energy above the lowest structure with this stoichiometry (meV/atom) = 55
! - SG = C2/c, No. 15
! - M_tot (μB/f.u.) = 0.00

---

7.
! Ce2Dy6Er5, optimized geometry, DFT PBE-GGA; values from VASP
&SYSTEM
  ibrav = 0, nat = 26, ntyp = 3
/
ATOMIC_SPECIES
Dy 162.50 Dy.upf
Ce 140.12 Ce.upf
Er 167.26 Er.upf
ATOMIC_POSITIONS crystal
Dy 0.000 0.432 0.854
Dy 0.000 0.584 0.438
Dy 0.500 0.183 0.625
Ce 0.000 0.809 0.234
Dy 0.000 0.932 0.646
Ce 0.000 0.309 0.266
Dy 0.500 0.317 0.125
Er 0.500 0.435 0.707
Er 0.500 0.313 0.421
Er 0.500 0.065 0.207
Er 0.500 0.813 0.079
Dy 0.000 0.568 0.146
Dy 0.000 0.084 0.062
Er 0.500 0.687 0.579
Dy 0.500 0.683 0.875
Er 0.500 0.500 0.000
Er 0.500 0.187 0.921
Ce 0.000 0.691 0.734
Dy 0.000 0.068 0.354
Dy 0.500 0.817 0.375
Dy 0.000 0.916 0.938
Ce 0.000 0.191 0.766
Er 0.500 0.935 0.793
Dy 0.000 0.416 0.562
Er 0.500 0.000 0.500
Er 0.500 0.565 0.293
CELL_PARAMETERS angstrom
3.524 0.000 0.000
0.000 11.333 0.000
0.000 0.000 20.546
! - total energy (eV/atom) = -4.66
! - SG = Pbam, No. 55
! - M_tot (μB/f.u.) = 1.27

---

8.
! NaGeTe3As, optimized geometry, DFT PBE-GGA; values from VASP
&SYSTEM
  ibrav = 0, nat = 12, ntyp = 4
/
ATOMIC_SPECIES
Te 127.60 Te.upf
Ge 72.64 Ge.upf
Na 22.99 Na.upf
As 74.92 As.upf
ATOMIC_POSITIONS crystal
Te 0.250 0.530 0.842
Ge 0.250 0.135 0.631
Na 0.250 0.219 0.229
As 0.750 0.312 0.909
As 0.250 0.688 0.091
Te 0.750 0.470 0.158
Te 0.750 0.193 0.472
Te 0.250 0.807 0.528
Te 0.250 0.100 0.914
Ge 0.750 0.865 0.369
Na 0.750 0.781 0.771
Te 0.750 0.900 0.086
CELL_PARAMETERS angstrom
4.252 0.000 0.000
0.000 8.896 -0.375
0.000 -2.834 10.440
! - formation energy from raw total energies (eV per formula unit) = -1.158
! - total energy (eV/atom) = -3.53
! - SG = P2_1/m, No. 11
! - M_tot (μB/f.u.) = 0.00

---

9.
! Na4Ti3VTe8, optimized geometry, DFT PBE-GGA; values from VASP
&SYSTEM
  ibrav = 0, nat = 16, ntyp = 4
/
ATOMIC_SPECIES
Na 22.99 Na.upf
Te 127.60 Te.upf
Ti 47.87 Ti.upf
V 50.94 V.upf
ATOMIC_POSITIONS crystal
Na 0.000 0.000 0.500
Te 0.236 0.710 0.974
Ti 0.500 0.500 0.000
Ti 0.000 0.500 0.500
Na 0.000 0.000 0.000
Te 0.764 0.290 0.528
Te 0.261 0.290 0.026
V 0.000 0.500 0.000
Na 0.500 0.000 0.000
Te 0.764 0.290 0.026
Te 0.737 0.712 0.475
Na 0.500 0.000 0.500
Te 0.739 0.710 0.974
Te 0.236 0.710 0.472
Ti 0.500 0.500 0.500
Te 0.263 0.288 0.525
CELL_PARAMETERS angstrom
8.091 0.000 0.000
0.000 8.917 0.578
-4.046 -4.046 5.721
! - formation energy from raw total energies (eV per formula unit) = -11.541
! - total energy (eV/atom) = -4.67
! - SG = R-3m, No. 166
! - M_tot (μB/f.u.) = 5.00

---

10.
! RbSrIn2Pt, optimized geometry, DFT PBE-GGA; values from VASP
&SYSTEM
  ibrav = 0, nat = 5, ntyp = 4
/
ATOMIC_SPECIES
In 114.82 In.upf
Sr 87.62 Sr.upf
Pt 195.08 Pt.upf
Rb 85.47 Rb.upf
ATOMIC_POSITIONS crystal
In 0.500 0.000 0.000
Sr 0.000 0.000 0.500
In 0.000 0.500 0.000
Pt 0.000 0.000 0.000
Rb 0.500 0.500 0.500
CELL_PARAMETERS angstrom
5.372 0.000 0.000
0.000 5.372 0.000
0.000 0.000 5.827
! - total energy (eV/atom) = -3.14
! - SG = P4/mmm, No. 123
! - M_tot (μB/f.u.) = 0.00

---

11.
! LaDy2TmAu4, optimized geometry, DFT PBE-GGA; values from VASP
&SYSTEM
  ibrav = 0, nat = 8, ntyp = 4
/
ATOMIC_SPECIES
Au 196.97 Au.upf
Tm 168.93 Tm.upf
La 138.91 La.upf
Dy 162.50 Dy.upf
ATOMIC_POSITIONS crystal
Au 0.871 0.871 0.387
Au 0.615 0.615 0.155
Tm 0.500 0.500 0.500
La 0.000 0.000 0.000
Au 0.129 0.129 0.613
Au 0.385 0.385 0.845
Dy 0.247 0.247 0.258
Dy 0.753 0.753 0.742
CELL_PARAMETERS angstrom
-0.859 -4.987 0.539
2.701 -2.698 3.365
-5.274 -0.893 7.367
! - total energy (eV/atom) = -4.80
! - SG = R-3m, No. 166
! - M_tot (μB/f.u.) = 0.00

---

12.
! ErInCuPd, optimized geometry, DFT PBE-GGA; values from VASP
&SYSTEM
  ibrav = 0, nat = 4, ntyp = 4
/
ATOMIC_SPECIES
Pd 106.42 Pd.upf
In 114.82 In.upf
Cu 63.55 Cu.upf
Er 167.26 Er.upf
ATOMIC_POSITIONS crystal
Pd 0.750 0.750 0.750
In 0.500 0.500 0.500
Cu 0.250 0.250 0.250
Er 0.000 0.000 0.000
CELL_PARAMETERS angstrom
4.744 0.000 0.000
2.372 4.108 0.000
2.372 1.369 3.874
! - total energy (eV/atom) = -4.70
! - SG = F-43m, No. 216
! - M_tot (μB/f.u.) = 0.00

---

13.
! Na3ScPt, optimized geometry, DFT PBE-GGA; values from VASP
&SYSTEM
  ibrav = 0, nat = 5, ntyp = 3
/
ATOMIC_SPECIES
Na 22.99 Na.upf
Sc 44.96 Sc.upf
Pt 195.08 Pt.upf
ATOMIC_POSITIONS crystal
Na 0.500 0.000 0.000
Na 0.000 0.500 0.000
Sc 0.000 0.000 0.000
Pt 0.500 0.500 0.500
Na 0.000 0.000 0.500
CELL_PARAMETERS angstrom
5.729 0.000 0.000
0.000 5.729 0.000
0.000 0.000 5.729
! - total energy (eV/atom) = -1.93
! - energy above the lowest structure with this stoichiometry (meV/atom) = 821
! - SG = Pm-3m, No. 221
! - M_tot (μB/f.u.) = 1.97

---

14.
! Sm5Dy8In, optimized geometry, DFT PBE-GGA; values from VASP
&SYSTEM
  ibrav = 0, nat = 14, ntyp = 3
/
ATOMIC_SPECIES
Dy 162.50 Dy.upf
In 114.82 In.upf
Sm 150.36 Sm.upf
ATOMIC_POSITIONS crystal
Dy 0.563 0.656 0.352
In 0.410 0.500 0.910
Sm 0.412 0.000 0.412
Dy 0.509 0.866 0.795
Dy 0.066 0.756 0.513
Sm 0.889 0.864 0.179
Dy 0.757 0.244 0.311
Dy 0.257 0.348 0.473
Sm 0.076 0.370 0.113
Dy 0.125 0.652 0.909
Dy 0.696 0.344 0.908
Dy 0.930 0.134 0.644
Sm 0.743 0.630 0.706
Sm 0.315 0.136 0.026
CELL_PARAMETERS angstrom
-6.649 4.377 -2.705
-1.904 -6.725 4.850
4.017 6.283 3.882
! - total energy (eV/atom) = -4.42
! - SG = C2, No. 5
! - M_tot (μB/f.u.) = 0.00

---

15.
! Li2BeAg, optimized geometry, DFT PBE-GGA; values from VASP
&SYSTEM
  ibrav = 0, nat = 4, ntyp = 3
/
ATOMIC_SPECIES
Ag 107.87 Ag.upf
Be 9.01 Be.upf
Li 6.94 Li.upf
ATOMIC_POSITIONS crystal
Ag 0.750 0.750 0.750
Be 0.250 0.250 0.250
Li 0.991 0.991 0.009
Li 0.509 0.509 0.491
CELL_PARAMETERS angstrom
5.076 -0.096 0.001
4.185 2.876 0.001
1.614 0.484 3.625
! - total energy (eV/atom) = -2.55
! - SG = C2/m, No. 12
! - M_tot (μB/f.u.) = 0.00

---

16.
! Li2AlW, optimized geometry, DFT PBE-GGA; values from VASP
&SYSTEM
  ibrav = 0, nat = 8, ntyp = 3
/
ATOMIC_SPECIES
W 183.84 W.upf
Al 26.98 Al.upf
Li 6.94 Li.upf
ATOMIC_POSITIONS crystal
W 0.750 0.250 0.500
W 0.000 0.000 0.000
Al 0.500 0.500 0.000
Li 0.608 0.125 0.250
Li 0.142 0.625 0.250
Li 0.875 0.858 0.750
Li 0.375 0.392 0.750
Al 0.250 0.750 0.500
CELL_PARAMETERS angstrom
-2.538 0.540 6.363
-1.343 -6.739 0.036
0.392 -3.559 4.169
! - total energy (eV/atom) = -4.30
! - SG = I-42d, No. 122
! - M_tot (μB/f.u.) = 0.00

---

17.
! CeGdHoGa, optimized geometry, DFT PBE-GGA; values from VASP
&SYSTEM
  ibrav = 0, nat = 4, ntyp = 4
/
ATOMIC_SPECIES
Ce 140.12 Ce.upf
Gd 157.25 Gd.upf
Ho 164.93 Ho.upf
Ga 69.72 Ga.upf
ATOMIC_POSITIONS crystal
Ce 0.250 0.250 0.250
Gd 0.750 0.750 0.750
Ho 0.000 0.000 0.000
Ga 0.500 0.500 0.500
CELL_PARAMETERS angstrom
-4.990 1.719 0.744
-3.218 -2.550 3.399
-1.367 2.299 4.610
! - total energy (eV/atom) = -6.99
! - SG = F-43m, No. 216
! - M_tot (μB/f.u.) = 8.75

---

18.
! Zr5ZnHg4, optimized geometry, DFT PBE-GGA; values from VASP
&SYSTEM
  ibrav = 0, nat = 10, ntyp = 3
/
ATOMIC_SPECIES
Zn 65.41 Zn.upf
Zr 91.22 Zr.upf
Hg 200.59 Hg.upf
ATOMIC_POSITIONS crystal
Zn 0.000 0.000 0.000
Zr 0.500 0.500 0.500
Zr 0.500 0.500 0.294
Zr 0.500 0.500 0.089
Hg 0.000 0.000 0.603
Hg 0.000 0.000 0.397
Hg 0.000 0.000 0.193
Zr 0.500 0.500 0.706
Zr 0.500 0.500 0.911
Hg 0.000 0.000 0.807
CELL_PARAMETERS angstrom
-1.389 2.073 -2.034
1.150 -1.678 -2.496
-16.826 -11.376 -0.103
! - total energy (eV/atom) = -4.71
! - SG = P4/mmm, No. 123
! - M_tot (μB/f.u.) = 0.00

---

19.
! V2FeHRu, optimized geometry, DFT PBE-GGA; values from VASP
&SYSTEM
  ibrav = 0, nat = 5, ntyp = 4
/
ATOMIC_SPECIES
Ru 101.07 Ru.upf
Fe 55.84 Fe.upf
V 50.94 V.upf
H 1.01 H.upf
ATOMIC_POSITIONS crystal
Ru 0.500 0.500 0.500
Fe 0.000 0.000 0.500
V 0.000 0.500 0.000
H 0.000 0.000 0.000
V 0.500 0.000 0.000
CELL_PARAMETERS angstrom
-1.751 1.807 3.051
-0.838 -3.517 1.603
2.951 0.054 1.662
! - total energy (eV/atom) = -7.98
! - energy above the lowest structure with this stoichiometry (meV/atom) = 0
! - SG = P4/mmm, No. 123
! - M_tot (μB/f.u.) = 0.58

---

20.
! TbHo2UP4, optimized geometry, DFT PBE-GGA; values from VASP
&SYSTEM
  ibrav = 0, nat = 8, ntyp = 4
/
ATOMIC_SPECIES
P 30.97 P.upf
Ho 164.93 Ho.upf
Tb 158.93 Tb.upf
U 238.03 U.upf
ATOMIC_POSITIONS crystal
P 0.000 0.255 0.753
Ho 0.500 0.000 0.500
Tb 0.000 0.000 0.000
Ho 0.000 0.500 0.500
P 0.000 0.745 0.247
U 0.500 0.500 0.000
P 0.500 0.256 0.248
P 0.500 0.744 0.752
CELL_PARAMETERS angstrom
-2.280 1.898 -2.636
3.216 -3.275 -5.141
-5.430 -3.723 2.016
! - total energy (eV/atom) = -7.29
! - SG = P2/m, No. 10
! - M_tot (μB/f.u.) = 2.07